Below is PtPbNF2 after structural relaxation, with properties calculated at the GGA-PBE level.

Unit cell a=4.8073 b=4.8073 c=3.6744 alpha=90.00 beta=90.00 gamma=90.00
Last column: nearest neighbours and their distance in Å.
Sites, in units of the cell vectors:
F  0.5000  0.0000  0.0000  2 Pt 2.40
F  0.0000  0.5000  0.0000  2 Pt 2.40
N  0.0000  0.0000  0.5000  2 Pt 1.84
Pt  0.0000  0.0000  0.0000  2 N 1.84
Pb  0.5000  0.5000  0.5000  8 F 3.03

uncorrected energy = -0.17696 hartree per atom
formation energy from raw total energies = -0.4520 eV/atom
mass density = 8.884 Mg/m³
volume = 16.98 Å³/atom